(1)
DFT (PBE) results for Ba3PbSe4 after structural relaxation.

Cell and atoms, written as CIF:
```
data_Ba3PbSe4
_chemical_formula_sum 'Ba3 Pb1 Se4'
_cell_length_a 4.6506
_cell_length_b 8.0459
_cell_length_c 8.0459
_cell_angle_alpha 70.47
_cell_angle_beta 90.00
_cell_angle_gamma 90.00
_space_group_name_H-M_alt 'P 1'
_space_group_IT_number 1
loop_
_space_group_symop_operation_xyz
'x,y,z'
loop_
_atom_site_label
_atom_site_type_symbol
_atom_site_fract_x
_atom_site_fract_y
_atom_site_fract_z
_atom_site_occupancy
Se1 Se 0.9997 0.7416 0.7584 1
Se2 Se 0.9997 0.2583 0.2418 1
Se3 Se 0.5000 0.7458 0.2455 1
Se4 Se 0.5000 0.2546 0.7543 1
Ba1 Ba 0.4998 0.0001 0.5000 1
Ba2 Ba 0.9999 0.5001 0.4998 1
Ba3 Ba 0.9999 0.0003 0.0000 1
Pb1 Pb 0.5007 0.5002 0.9999 1
```

## Properties
SG: No. 35
formation energy (no corrections): -1.66 eV per atom

=====

(2)
DFT (PBE) results for CrAuBr2 after structural relaxation.

Cell and atoms, written as CIF:
```
data_CrAuBr2
_chemical_formula_sum 'Cr1 Au1 Br2'
_cell_length_a 5.0170
_cell_length_b 5.0170
_cell_length_c 5.0170
_cell_angle_alpha 60.00
_cell_angle_beta 60.00
_cell_angle_gamma 60.00
_space_group_name_H-M_alt 'P 1'
_space_group_IT_number 1
loop_
_space_group_symop_operation_xyz
'x,y,z'
loop_
_atom_site_label
_atom_site_type_symbol
_atom_site_fract_x
_atom_site_fract_y
_atom_site_fract_z
_atom_site_occupancy
Br1 Br 0.2500 0.2500 0.2500 1
Br2 Br 0.7500 0.7500 0.7500 1
Au1 Au 0.5000 0.5000 0.5000 1
Cr1 Cr 0.0000 0.0000 0.0000 1
```

## Properties
SG: No. 225
formation energy (no corrections): 0.31 eV per atom

=====

(3)
DFT (PBE) results for Dy7InCo4Ge12 after structural relaxation.

Cell and atoms, written as CIF:
```
data_Dy7InCo4Ge12
_chemical_formula_sum 'Dy7 In1 Co4 Ge12'
_cell_length_a 10.3743
_cell_length_b 10.3743
_cell_length_c 4.2051
_cell_angle_alpha 90.00
_cell_angle_beta 90.00
_cell_angle_gamma 90.00
_space_group_name_H-M_alt 'P 1'
_space_group_IT_number 1
loop_
_space_group_symop_operation_xyz
'x,y,z'
loop_
_atom_site_label
_atom_site_type_symbol
_atom_site_fract_x
_atom_site_fract_y
_atom_site_fract_z
_atom_site_occupancy
Ge1 Ge 0.2862 0.1127 0.0000 1
Ge2 Ge 0.4850 0.7871 0.0000 1
Ge3 Ge 0.1127 0.7138 0.0000 1
Ge4 Ge 0.5150 0.2129 0.0000 1
Ge5 Ge 0.8038 0.0644 0.5000 1
Ge6 Ge 0.7138 0.8873 0.0000 1
Ge7 Ge 0.1962 0.9356 0.5000 1
Ge8 Ge 0.2129 0.4850 0.0000 1
Ge9 Ge 0.0644 0.1962 0.5000 1
Ge10 Ge 0.8873 0.2862 0.0000 1
Ge11 Ge 0.9356 0.8038 0.5000 1
Ge12 Ge 0.7871 0.5150 0.0000 1
Dy1 Dy 0.6786 0.3263 0.5000 1
Dy2 Dy 0.0000 0.5000 0.5000 1
Dy3 Dy 0.3214 0.6737 0.5000 1
Dy4 Dy 0.3263 0.3214 0.5000 1
Dy5 Dy 0.5000 0.0000 0.5000 1
Dy6 Dy 0.0000 0.0000 0.0000 1
Dy7 Dy 0.6737 0.6786 0.5000 1
Co1 Co 0.8828 0.7229 0.0000 1
Co2 Co 0.7229 0.1172 0.0000 1
Co3 Co 0.1172 0.2771 0.0000 1
Co4 Co 0.2771 0.8828 0.0000 1
In1 In 0.5000 0.5000 0.0000 1
```

## Properties
ΔE_f: -0.69 eV/atom
SG: No. 83

=====

no.,DFT total energy (eV/atom),magnetic moment (μB/atom)
1,-4.591,0.000
2,-3.752,1.203
3,-5.636,0.000